Below is an optimized crystal structure of CrNiGe2Os, with properties calculated at the PBE level.

abc: 4.698 4.698 4.812
angles: 90.00 90.00 90.00
Space group P4/mmm (No. 123)
Unique sites:
Cr1 0.000 0.000 0.000 x1
Ni1 0.500 0.500 0.000 x1
Ge1 0.000 0.500 0.500 x2
Os1 0.000 0.000 0.500 x1

- Size of the total moment: 3.2 μB per formula unit
- Calculated formation energy: 0.98 eV per atom
- Volume: 21.25 Å³ per atom
- Raw total energy: -6.198 eV/atom
- N(E_F): 1.0657 states/eV per atom

---

Below is an optimized crystal structure of Cr2NiGePd, with properties calculated at the PBE level.

abc: 4.354 4.354 4.571
angles: 90.00 90.00 90.00
Space group P4/mmm (No. 123)
Unique sites:
Cr1 0.000 0.500 0.000 x2
Ni1 0.000 0.000 0.000 x1
Ge1 0.500 0.500 0.500 x1
Pd1 0.000 0.000 0.500 x1

- Size of the total moment: 6.6 μB per formula unit
- Calculated formation energy: 0.90 eV per atom
- Volume: 17.33 Å³ per atom
- Raw total energy: -6.070 eV/atom
- N(E_F): 1.4362 states/eV per atom

---

Below is an optimized crystal structure of Pm2CrNi3Ge4, with properties calculated at the PBE level.

abc: 4.109 4.109 10.112
angles: 90.00 90.00 90.00
Space group P-4m2 (No. 115)
Unique sites:
Pm1 0.000 0.500 0.242 x2
Cr1 0.000 0.000 0.500 x1
Ni1 0.000 0.500 0.877 x2
Ni2 0.500 0.500 0.500 x1
Ge1 0.000 0.000 0.000 x1
Ge2 0.000 0.500 0.638 x2
Ge3 0.500 0.500 0.000 x1

- Size of the total moment: 2.2 μB per formula unit
- Calculated formation energy: -0.61 eV per atom
- Volume: 17.07 Å³ per atom
- Raw total energy: -6.099 eV/atom
- N(E_F): 0.5065 states/eV per atom

---

Below is an optimized crystal structure of Cr2ReNiGe, with properties calculated at the PBE level.

abc: 4.612 4.612 4.606
angles: 90.00 90.00 90.00
Space group P4/mmm (No. 123)
Unique sites:
Cr1 0.000 0.500 0.000 x2
Re1 0.000 0.000 0.000 x1
Ni1 0.000 0.000 0.500 x1
Ge1 0.500 0.500 0.500 x1

- Size of the total moment: 5.2 μB per formula unit
- Calculated formation energy: 1.32 eV per atom
- Volume: 19.59 Å³ per atom
- Raw total energy: -7.097 eV/atom
- N(E_F): 0.9786 states/eV per atom

---

Below is an optimized crystal structure of CrNi7Ge2Sb2, with properties calculated at the PBE level.

abc: 5.058 5.059 14.682
angles: 90.00 99.91 90.00
Space group C2/m (No. 12)
Unique sites:
Cr1 0.000 0.000 0.000 x2
Ni1 0.000 0.500 0.000 x2
Ni2 0.190 0.250 0.879 x8
Ni3 0.197 0.500 0.393 x4
Ge1 0.116 0.500 0.231 x4
Sb1 0.212 0.000 0.424 x4

- Size of the total moment: 1.5 μB per formula unit
- Formation energy without anion corrections: -7 kJ/mol of atoms
- Volume: 15.42 Å³ per atom
- Raw total energy: -5.706 eV/atom
- N(E_F): 0.5497 states/eV per atom

---

Below is an optimized crystal structure of TiCrNiGe2, with properties calculated at the PBE level.

abc: 4.441 4.441 4.647
angles: 90.00 90.00 90.00
Space group P4/mmm (No. 123)
Unique sites:
Ti1 0.000 0.000 0.000 x1
Cr1 0.500 0.500 0.000 x1
Ni1 0.000 0.000 0.500 x1
Ge1 0.000 0.500 0.500 x2

- Size of the total moment: 2.5 μB per formula unit
- Calculated formation energy: 0.47 eV per atom
- Volume: 18.33 Å³ per atom
- Raw total energy: -6.040 eV/atom
- N(E_F): 0.7627 states/eV per atom

---

Below is an optimized crystal structure of ZnCrNiGe2, with properties calculated at the PBE level.

abc: 4.504 4.504 4.568
angles: 90.00 90.00 90.00
Space group P4/mmm (No. 123)
Unique sites:
Zn1 0.000 0.000 0.000 x1
Cr1 0.500 0.500 0.000 x1
Ni1 0.000 0.000 0.500 x1
Ge1 0.000 0.500 0.500 x2

- Size of the total moment: 4.3 μB per formula unit
- Calculated formation energy: 0.42 eV per atom
- Volume: 18.53 Å³ per atom
- Raw total energy: -4.762 eV/atom
- N(E_F): 0.4522 states/eV per atom

---

Below is an optimized crystal structure of ZnCrNiGe, with properties calculated at the PBE level.

abc: 5.974 5.974 5.974
angles: 90.00 90.00 90.00
Space group F-43m (No. 216)
Unique sites:
Zn1 0.000 0.000 0.000 x4
Cr1 0.250 0.250 0.250 x4
Ni1 0.250 0.250 0.750 x4
Ge1 0.000 0.000 0.500 x4

- Size of the total moment: 3.1 μB per formula unit
- Calculated formation energy: 0.00 eV per atom
- Volume: 13.32 Å³ per atom
- Raw total energy: -5.325 eV/atom
- N(E_F): 0.9112 states/eV per atom